No. 1
Density functional theory data (PBE) for a geometry-optimized Ac2NdMoN4 structure.

abc: 3.639 6.572 12.858
angles: 90.00 90.00 106.07
Atoms (fractional coordinates):
1 Ac 0.633 0.266 0.039
2 N 0.275 0.550 0.145
3 N 0.725 0.450 0.645
4 Ac 0.633 0.266 0.461
5 Nd 0.877 0.753 0.250
6 Nd 0.123 0.247 0.750
7 N 0.275 0.550 0.355
8 N 0.589 0.177 0.250
9 Mo 0.842 0.684 0.750
10 Ac 0.367 0.734 0.539
11 N 0.411 0.823 0.750
12 Mo 0.158 0.316 0.250
13 Ac 0.367 0.734 0.961
14 N 0.000 0.000 0.500
15 N 0.000 0.000 0.000
16 N 0.725 0.450 0.855

Computed properties:
The calculation puts the formation energy (no corrections) at -0.758 eV/atom. Its volume is 148 Å³/f.u.

=====

No. 2
Density functional theory data (PBE) for a geometry-optimized Ca2RhCl structure.

abc: 3.426 3.426 7.645
angles: 90.00 90.00 90.06
Atoms (fractional coordinates):
1 Ca 0.000 0.000 0.528
2 Rh 0.500 0.500 0.750
3 Cl 0.500 0.500 0.250
4 Ca 0.000 0.000 0.972

Computed properties:
For the energy above the most stable polymorph in this dataset, the calculation gives 0.015 eV/atom. The calculation puts the formation energy (no corrections) at -1.048 eV/atom. Its volume is 90 Å³/f.u.

=====

No. 3
Density functional theory data (PBE) for a geometry-optimized Hg4I5 structure.

abc: 8.599 7.917 7.917
angles: 72.85 57.11 57.11
Atoms (fractional coordinates):
1 I 0.314 0.000 0.371
2 I 0.000 0.000 0.000
3 I 0.314 0.371 0.000
4 I 0.686 0.000 0.629
5 Hg 0.000 0.342 0.658
6 I 0.686 0.629 0.000
7 Hg 0.342 0.658 0.658
8 Hg 0.000 0.658 0.342
9 Hg 0.658 0.342 0.342

Computed properties:
The calculation puts the formation energy (no corrections) at -0.066 eV/atom. Its volume is 380 Å³/f.u.

=====

No. 4
Density functional theory data (PBE) for a geometry-optimized Tb2PrHfAs4 structure.

abc: 4.092 7.102 7.081
angles: 109.23 90.00 90.00
Atoms (fractional coordinates):
1 Hf 0.000 0.000 0.000
2 Tb 0.500 0.000 0.500
3 As 0.000 0.765 0.249
4 Tb 0.000 0.500 0.500
5 As 0.500 0.768 0.761
6 As 0.500 0.232 0.239
7 As 0.000 0.235 0.751
8 Pr 0.500 0.500 0.000

Computed properties:
Its volume is 194 Å³/f.u. For the formation energy, the calculation gives -1.363 eV/atom.

=====

No. 5
Density functional theory data (PBE) for a geometry-optimized Zn2Ag13 structure.

abc: 7.307 7.258 7.213
angles: 119.60 58.55 120.47
Atoms (fractional coordinates):
1 Ag 0.654 0.186 0.125
2 Zn 0.820 0.894 0.677
3 Ag 0.728 0.065 0.479
4 Ag 0.346 0.814 0.875
5 Ag 0.066 0.458 0.264
6 Ag 0.459 0.271 0.934
7 Ag 0.000 0.000 0.000
8 Ag 0.272 0.935 0.521
9 Zn 0.180 0.106 0.323
10 Ag 0.402 0.554 0.417
11 Ag 0.541 0.729 0.066
12 Ag 0.934 0.542 0.736
13 Ag 0.882 0.675 0.205
14 Ag 0.118 0.325 0.795
15 Ag 0.598 0.446 0.583

Computed properties:
Its volume is 267 Å³/f.u. For the formation energy, the calculation gives 0.033 eV/atom.

=====

No. 6
Density functional theory data (PBE) for a geometry-optimized Ca2InSnH structure.

abc: 5.058 5.058 4.536
angles: 90.00 90.00 90.00
Atoms (fractional coordinates):
1 H 0.000 0.000 0.000
2 Sn 0.000 0.000 0.500
3 Ca 0.000 0.500 0.000
4 Ca 0.500 0.000 0.000
5 In 0.500 0.500 0.500

Computed properties:
For the energy above the most stable polymorph in this dataset, the calculation gives 0.059 eV/atom. Its volume is 116 Å³/f.u.

=====

| no. | spin magnetization (μB per atom) |
| --- | --- |
| 1 | 0.00 |
| 2 | 0.00 |
| 3 | 0.00 |
| 4 | 0.00 |
| 5 | 0.00 |
| 6 | 0.00 |